{
  "formula": "PrY4Ho5",
  "functional": "PBE",
  "state": "relaxed",
  "cell": [[3.5571, 0.0000, 0.0000], [-0.0153, 7.1177, 0.0000], [-1.7780, -1.7638, 12.6029]],
  "species": ["Pr", "Y", "Y", "Y", "Y", "Ho", "Ho", "Ho", "Ho", "Ho"],
  "fractional_positions": [[0.0000, 0.0000, 0.0000], [0.3983, 0.6970, 0.7971], [0.3988, 0.2013, 0.7968], [0.6012, 0.7987, 0.2032], [0.6017, 0.3030, 0.2029], [0.0000, 0.5000, 0.0000], [0.2015, 0.1011, 0.4026], [0.2013, 0.6003, 0.4024], [0.7987, 0.3997, 0.5976], [0.7985, 0.8989, 0.5974]],
  "e_form_ev_per_fu": 0.205,
  "spacegroup": "P-1 (2)",
  "relative_energy_ev_per_fu": 0.00,
  "dos_ef_per_ev_cell": 12.91,
  "m_tot_mub_per_cell": 0.00
}